[1]
The following is a DFT calculation (PBE) of an optimized crystal structure of BSb2TeP.

a = 4.842 Å, b = 4.842 Å, c = 4.739 Å
α = 90.00°, β = 90.00°, γ = 90.00°
Atoms (fractional coordinates):
Sb (0.000, 0.500, 0.000)
Sb (0.500, 0.000, 0.000)
B (0.000, 0.000, 0.000)
Te (0.000, 0.000, 0.500)
P (0.500, 0.500, 0.500)

Summary:
As for the total energy: -18.82 eV for the cell shown. The energy relative to the elements, uncorrected is 0.930 eV/atom. As for the volume: 111 Å³/cell. The calculation puts the relative energy among the computed polymorphs at 0.0000 eV per atom. The calculated density is 6.17 g cm⁻³.


[2]
The following is a DFT calculation (PBE) of an optimized crystal structure of YBSbP2.

a = 5.206 Å, b = 5.845 Å, c = 5.206 Å
α = 90.00°, β = 90.00°, γ = 90.00°
Atoms (fractional coordinates):
Y (0.000, 0.000, 0.000)
Sb (0.000, 0.500, 0.000)
B (0.500, 0.500, 0.500)
P (0.000, 0.000, 0.500)
P (0.500, 0.000, 0.000)

Summary:
As for the total energy: -20.73 eV for the cell shown. The energy relative to the elements, uncorrected is 1.470 eV/atom. As for the volume: 158 Å³/cell. The calculated density is 2.97 g cm⁻³.


[3]
The following is a DFT calculation (PBE) of an optimized crystal structure of YBSb2P.

a = 5.781 Å, b = 5.197 Å, c = 5.781 Å
α = 90.00°, β = 90.00°, γ = 90.00°
Atoms (fractional coordinates):
Y (0.000, 0.000, 0.000)
Sb (0.000, 0.000, 0.500)
Sb (0.500, 0.000, 0.000)
B (0.500, 0.500, 0.500)
P (0.000, 0.500, 0.000)

Summary:
As for the total energy: -19.94 eV for the cell shown. The energy relative to the elements, uncorrected is 1.370 eV/atom. As for the volume: 174 Å³/cell. The calculated density is 3.58 g cm⁻³.


[4]
The following is a DFT calculation (PBE) of an optimized crystal structure of ZnBSb2P.

a = 4.978 Å, b = 3.976 Å, c = 4.978 Å
α = 90.00°, β = 90.00°, γ = 90.00°
Atoms (fractional coordinates):
Sb (0.000, 0.000, 0.500)
Sb (0.500, 0.000, 0.000)
Zn (0.000, 0.500, 0.000)
B (0.000, 0.000, 0.000)
P (0.500, 0.500, 0.500)

Summary:
As for the total energy: -18.45 eV for the cell shown. The energy relative to the elements, uncorrected is 0.631 eV/atom. As for the volume: 99 Å³/cell. The calculated density is 5.91 g cm⁻³.


[5]
The following is a DFT calculation (PBE) of an optimized crystal structure of ScB2P.

a = 3.574 Å, b = 3.574 Å, c = 8.228 Å
α = 77.45°, β = 77.45°, γ = 90.00°
Atoms (fractional coordinates):
Sc (0.000, 0.000, 0.000)
Sc (0.750, 0.250, 0.500)
P (0.500, 0.500, 0.000)
P (0.250, 0.750, 0.500)
B (0.375, 0.125, 0.250)
B (0.375, 0.625, 0.250)
B (0.375, 0.625, 0.750)
B (0.875, 0.625, 0.750)

Summary:
As for the total energy: -50.56 eV for the cell shown. As for the volume: 100 Å³/cell. The formation energy from the elements is -0.046 eV per atom. The calculated density is 3.24 g cm⁻³.


[6]
The following is a DFT calculation (PBE) of an optimized crystal structure of ScB3P.

a = 4.384 Å, b = 4.384 Å, c = 4.384 Å
α = 90.00°, β = 90.00°, γ = 90.00°
Atoms (fractional coordinates):
Sc (0.000, 0.000, 0.000)
P (0.500, 0.500, 0.500)
B (0.000, 0.500, 0.000)
B (0.000, 0.000, 0.500)
B (0.500, 0.000, 0.000)

Summary:
As for the total energy: -20.23 eV for the cell shown. As for the volume: 84 Å³/cell. The calculation puts the relative energy among the computed polymorphs at 1.4679 eV per atom. The formation energy from the elements is 2.310 eV per atom. The calculated density is 2.14 g cm⁻³.


[7]
The following is a DFT calculation (PBE) of an optimized crystal structure of Sc3BP.

a = 4.515 Å, b = 4.515 Å, c = 4.515 Å
α = 90.00°, β = 90.00°, γ = 90.00°
Atoms (fractional coordinates):
Sc (0.000, 0.500, 0.000)
Sc (0.000, 0.000, 0.500)
Sc (0.500, 0.000, 0.000)
P (0.500, 0.500, 0.500)
B (0.000, 0.000, 0.000)

Summary:
As for the total energy: -33.67 eV for the cell shown. As for the volume: 92 Å³/cell. The calculation puts the relative energy among the computed polymorphs at 0.0000 eV per atom. The formation energy from the elements is -0.517 eV per atom. The calculated density is 3.19 g cm⁻³.


[8]
The following is a DFT calculation (PBE) of an optimized crystal structure of ScBP3.

a = 4.207 Å, b = 4.207 Å, c = 4.207 Å
α = 90.00°, β = 90.00°, γ = 90.00°
Atoms (fractional coordinates):
Sc (0.500, 0.500, 0.500)
P (0.000, 0.500, 0.000)
P (0.000, 0.000, 0.500)
P (0.500, 0.000, 0.000)
B (0.000, 0.000, 0.000)

Summary:
As for the total energy: -27.86 eV for the cell shown. As for the volume: 74 Å³/cell. The calculation puts the relative energy among the computed polymorphs at 0.0000 eV per atom. The formation energy from the elements is 0.277 eV per atom. The calculated density is 3.32 g cm⁻³.


[9]
The following is a DFT calculation (PBE) of an optimized crystal structure of ScB2P2.

a = 3.942 Å, b = 3.942 Å, c = 4.954 Å
α = 66.56°, β = 66.56°, γ = 90.00°
Atoms (fractional coordinates):
Sc (0.000, 0.000, 0.000)
P (0.322, 0.322, 0.356)
P (0.678, 0.678, 0.644)
B (0.750, 0.250, 0.500)
B (0.250, 0.750, 0.500)

Summary:
As for the total energy: -29.87 eV for the cell shown. As for the volume: 64 Å³/cell. The calculation puts the relative energy among the computed polymorphs at 0.0000 eV per atom. The formation energy from the elements is 0.127 eV per atom. The calculated density is 3.35 g cm⁻³.


[10]
The following is a DFT calculation (PBE) of an optimized crystal structure of ScBP3.

a = 4.905 Å, b = 4.905 Å, c = 4.905 Å
α = 90.00°, β = 90.00°, γ = 90.00°
Atoms (fractional coordinates):
Sc (0.000, 0.000, 0.000)
P (0.000, 0.500, 0.000)
P (0.000, 0.000, 0.500)
P (0.500, 0.000, 0.000)
B (0.500, 0.500, 0.500)

Summary:
As for the total energy: -22.35 eV for the cell shown. As for the volume: 118 Å³/cell. The calculation puts the relative energy among the computed polymorphs at 1.1008 eV per atom. The formation energy from the elements is 1.378 eV per atom. The calculated density is 2.09 g cm⁻³.


[11]
The following is a DFT calculation (PBE) of an optimized crystal structure of ScB2P2.

a = 6.485 Å, b = 6.485 Å, c = 3.051 Å
α = 90.00°, β = 90.00°, γ = 90.00°
Atoms (fractional coordinates):
Sc (0.000, 0.000, 0.000)
Sc (0.500, 0.500, 0.000)
P (0.365, 0.865, 0.000)
P (0.865, 0.635, 0.000)
P (0.635, 0.135, 0.000)
P (0.135, 0.365, 0.000)
B (0.105, 0.605, 0.500)
B (0.605, 0.895, 0.500)
B (0.895, 0.395, 0.500)
B (0.395, 0.105, 0.500)

Summary:
As for the total energy: -55.81 eV for the cell shown. As for the volume: 128 Å³/cell. The calculation puts the relative energy among the computed polymorphs at 0.3941 eV per atom. The formation energy from the elements is 0.521 eV per atom. The calculated density is 3.33 g cm⁻³.


[12]
The following is a DFT calculation (PBE) of an optimized crystal structure of ScB3P.

a = 3.859 Å, b = 3.859 Å, c = 3.859 Å
α = 90.00°, β = 90.00°, γ = 90.00°
Atoms (fractional coordinates):
Sc (0.500, 0.500, 0.500)
P (0.000, 0.000, 0.000)
B (0.000, 0.500, 0.000)
B (0.000, 0.000, 0.500)
B (0.500, 0.000, 0.000)

Summary:
As for the total energy: -27.56 eV for the cell shown. As for the volume: 57 Å³/cell. The calculation puts the relative energy among the computed polymorphs at 0.0000 eV per atom. The formation energy from the elements is 0.842 eV per atom. The calculated density is 3.13 g cm⁻³.


[13]
The following is a DFT calculation (PBE) of an optimized crystal structure of ScSnBP2.

a = 4.868 Å, b = 5.558 Å, c = 4.868 Å
α = 90.00°, β = 90.00°, γ = 90.00°
Atoms (fractional coordinates):
Sc (0.000, 0.000, 0.000)
P (0.000, 0.000, 0.500)
P (0.500, 0.000, 0.000)
B (0.500, 0.500, 0.500)
Sn (0.000, 0.500, 0.000)

Summary:
As for the total energy: -21.60 eV for the cell shown. As for the volume: 132 Å³/cell. The formation energy from the elements is 1.246 eV per atom. The calculated density is 2.98 g cm⁻³.


[14]
The following is a DFT calculation (PBE) of an optimized crystal structure of ScTcB2P.

a = 3.931 Å, b = 4.448 Å, c = 3.931 Å
α = 90.00°, β = 90.00°, γ = 90.00°
Atoms (fractional coordinates):
Sc (0.500, 0.500, 0.500)
P (0.000, 0.000, 0.000)
B (0.000, 0.000, 0.500)
B (0.500, 0.000, 0.000)
Tc (0.000, 0.500, 0.000)

Summary:
As for the total energy: -31.40 eV for the cell shown. As for the volume: 69 Å³/cell. The calculation puts the relative energy among the computed polymorphs at 0.0000 eV per atom. The formation energy from the elements is 0.812 eV per atom. The calculated density is 4.72 g cm⁻³.


[15]
The following is a DFT calculation (PBE) of an optimized crystal structure of ScTcB2P.

a = 4.279 Å, b = 4.866 Å, c = 4.279 Å
α = 90.00°, β = 90.00°, γ = 90.00°
Each line ends with the local moment (μB).
Atoms (fractional coordinates):
Sc (0.000, 0.000, 0.000)  -0.13
P (0.500, 0.500, 0.500)  0.03
B (0.000, 0.000, 0.500)  -0.04
B (0.500, 0.000, 0.000)  -0.06
Tc (0.000, 0.500, 0.000)  1.56

Summary:
As for the total energy: -24.68 eV for the cell shown. As for the volume: 89 Å³/cell. The calculation puts the relative energy among the computed polymorphs at 1.3436 eV per atom. The formation energy from the elements is 2.156 eV per atom. The calculated density is 3.64 g cm⁻³.


[16]
The following is a DFT calculation (PBE) of an optimized crystal structure of ScBTeP2.

a = 5.021 Å, b = 4.433 Å, c = 5.021 Å
α = 90.00°, β = 90.00°, γ = 90.00°
Atoms (fractional coordinates):
Sc (0.000, 0.000, 0.000)
P (0.000, 0.000, 0.500)
P (0.500, 0.000, 0.000)
B (0.000, 0.500, 0.000)
Te (0.500, 0.500, 0.500)

Summary:
As for the total energy: -22.21 eV for the cell shown. The energy relative to the elements, uncorrected is 0.952 eV/atom. As for the volume: 112 Å³/cell. The calculated density is 3.64 g cm⁻³.


[17]
The following is a DFT calculation (PBE) of an optimized crystal structure of ScB2PW.

a = 4.144 Å, b = 4.690 Å, c = 4.144 Å
α = 90.00°, β = 90.00°, γ = 90.00°
Atoms (fractional coordinates):
Sc (0.500, 0.500, 0.500)
P (0.000, 0.500, 0.000)
B (0.000, 0.000, 0.500)
B (0.500, 0.000, 0.000)
W (0.000, 0.000, 0.000)

Summary:
As for the total energy: -35.80 eV for the cell shown. As for the volume: 81 Å³/cell. The formation energy from the elements is 0.450 eV per atom. The calculated density is 5.80 g cm⁻³.


[18]
The following is a DFT calculation (PBE) of an optimized crystal structure of YSc2BP.

a = 4.785 Å, b = 5.138 Å, c = 4.785 Å
α = 90.00°, β = 90.00°, γ = 90.00°
Atoms (fractional coordinates):
Y (0.000, 0.500, 0.000)
Sc (0.000, 0.000, 0.500)
Sc (0.500, 0.000, 0.000)
B (0.500, 0.500, 0.500)
P (0.000, 0.000, 0.000)

Summary:
As for the total energy: -30.59 eV for the cell shown. As for the volume: 118 Å³/cell. The formation energy from the elements is 0.125 eV per atom. The calculated density is 3.11 g cm⁻³.


[19]
The following is a DFT calculation (PBE) of an optimized crystal structure of Zr2ScBP.

a = 4.809 Å, b = 4.695 Å, c = 4.809 Å
α = 90.00°, β = 90.00°, γ = 90.00°
Atoms (fractional coordinates):
Sc (0.000, 0.500, 0.000)
P (0.000, 0.000, 0.000)
B (0.500, 0.500, 0.500)
Zr (0.000, 0.000, 0.500)
Zr (0.500, 0.000, 0.000)

Summary:
As for the total energy: -33.75 eV for the cell shown. As for the volume: 109 Å³/cell. The formation energy from the elements is 0.353 eV per atom. The calculated density is 4.12 g cm⁻³.


[20]
The following is a DFT calculation (PBE) of an optimized crystal structure of BP2Se.

a = 5.689 Å, b = 5.689 Å, c = 5.654 Å
α = 59.79°, β = 59.79°, γ = 90.00°
Atoms (fractional coordinates):
P (0.540, 0.125, 0.250)
P (0.210, 0.625, 0.250)
P (0.375, 0.460, 0.750)
P (0.875, 0.790, 0.750)
B (0.500, 0.500, 0.000)
B (0.250, 0.750, 0.500)
Se (0.000, 0.000, 0.000)
Se (0.750, 0.250, 0.500)

Summary:
As for the total energy: -39.67 eV for the cell shown. The energy relative to the elements, uncorrected is 0.287 eV/atom. As for the volume: 129 Å³/cell. The calculation puts the relative energy among the computed polymorphs at 0.0000 eV per atom. The calculated density is 3.92 g cm⁻³.